Density functional theory data (PBE) for a relaxed CaAc2Si crystal.

Output
Volume: 32.96 A^3/atom
Energy above the most stable polymorph in this dataset: 172 meV per atom
Formation energy (no corrections): -1.8 kcal/mol of atoms
Total energy: -3.987 eV per atom

The structure in POSCAR format:
```
CaAc2Si
1.0
4.703 0.000 0.000
0.000 5.294 0.000
0.000 0.000 5.294
Si Ac Ca
1 2 1
Direct
0.500 0.000 0.000
0.000 0.500 0.000
0.000 0.000 0.500
0.500 0.500 0.500
```